The following is a GGA-PBE calculation of a relaxed SnP2HO crystal, from Alexandria via LeMat-Bulk.

It has space group P4/mmm (No. 123), with a = 3.4461 Å, b = 3.4461 Å, c = 6.3650 Å, α = 90.00°, β = 90.00° and γ = 90.00°. The asymmetric unit holds Sn at (0.0000, 0.0000, 0.0000), P at (0.0000, 0.5000, 0.5000), H at (0.5000, 0.5000, 0.5000) and O at (0.5000, 0.5000, 0.0000).

The value obtained for the calculated density is 4.3 g/cm3. As for the energy relative to the lowest polymorph listed for this composition: 0 meV per atom. The value obtained for the final energy is -21.776 eV per cell. For the density of states at the Fermi level, the calculation gives 0.29 states/eV/atom.